No. 1
# La2PO5, relaxed, DFT PBE-GGA
data_La2PO5
_cell_length_a 5.409
_cell_length_b 5.409
_cell_length_c 7.293
_cell_angle_alpha 90.00
_cell_angle_beta 90.00
_cell_angle_gamma 90.00
_space_group_name_H-M_alt 'I 4 m m'
_space_group_IT_number 107
_space_group_name_Hall 'I 4 -2'
loop_
_atom_site_label
_atom_site_fract_x
_atom_site_fract_y
_atom_site_fract_z
La1 0.000 0.500 0.000
P1 0.000 0.000 0.234
O1 0.000 0.000 0.013
O2 0.221 0.221 0.262
# **Distance to the lowest polymorph of the same formula**: 0.138 eV/atom
# **DFT total energy**: -7.7677 eV per atom
# **Fermi-level density of states**: 1.11 states/eV/f.u.
# **E_form (uncorrected)**: -2761 meV per atom


No. 2
# PrMg3In4, relaxed, DFT PBE-GGA
data_PrMg3In4
_cell_length_a 4.851
_cell_length_b 4.851
_cell_length_c 8.413
_cell_angle_alpha 90.00
_cell_angle_beta 90.00
_cell_angle_gamma 90.00
_space_group_name_H-M_alt 'P 4/m m m'
_space_group_IT_number 123
_space_group_name_Hall '-P 4 2'
loop_
_atom_site_label
_atom_site_fract_x
_atom_site_fract_y
_atom_site_fract_z
Pr1 0.000 0.000 0.000
Mg1 0.000 0.000 0.500
Mg2 0.500 0.500 0.000
Mg3 0.500 0.500 0.500
In1 0.000 0.500 0.268
# **DFT total energy**: -2.7986 eV per atom
# **Calculated formation energy**: -0.23 eV/atom
# **Fermi-level density of states**: 2.82 states/eV/f.u.


No. 3
# SrHg2Pb6, relaxed, DFT PBE-GGA
data_SrHg2Pb6
_cell_length_a 16.960
_cell_length_b 9.501
_cell_length_c 3.590
_cell_angle_alpha 90.00
_cell_angle_beta 100.03
_cell_angle_gamma 90.00
_space_group_name_H-M_alt 'C 1 2/m 1'
_space_group_IT_number 12
loop_
_space_group_symop_operation_xyz
'x,y,z'
'-x,-y,-z'
'-x,y,-z'
'x,-y,z'
'x+1/2,y+1/2,z'
'-x+1/2,-y+1/2,-z'
'-x+1/2,y+1/2,-z'
'x+1/2,-y+1/2,z'
loop_
_atom_site_label
_atom_site_fract_x
_atom_site_fract_y
_atom_site_fract_z
Sr1 0.000 0.000 0.000
Hg1 0.151 0.500 0.148
Pb1 0.000 0.335 0.500
Pb2 0.179 0.173 0.687
# **Distance to the lowest polymorph of the same formula**: 0.081 eV/atom
# **DFT total energy**: -2.7866 eV per atom
# **Calculated formation energy**: -0.06 eV/atom
# **Fermi-level density of states**: 3.21 states/eV/f.u.


No. 4
# PmIn3Au3, relaxed, DFT PBE-GGA
data_PmIn3Au3
_cell_length_a 7.489
_cell_length_b 7.489
_cell_length_c 7.489
_cell_angle_alpha 90.00
_cell_angle_beta 90.00
_cell_angle_gamma 90.00
_space_group_name_H-M_alt 'P m -3 n'
_space_group_IT_number 223
_space_group_name_Hall '-P 4n 2 3'
loop_
_atom_site_label
_atom_site_fract_x
_atom_site_fract_y
_atom_site_fract_z
Pm1 0.000 0.000 0.000
In1 0.000 0.250 0.500
Au1 0.000 0.500 0.250
# **Distance to the lowest polymorph of the same formula**: 0.477 eV/atom
# **DFT total energy**: -3.1887 eV per atom
# **Calculated formation energy**: 0.07 eV/atom
# **Fermi-level density of states**: 4.87 states/eV/f.u.


No. 5
# Ge2PdRh4, relaxed, DFT PBE-GGA
data_Ge2PdRh4
_cell_length_a 4.1943
_cell_length_b 4.1943
_cell_length_c 20.9605
_cell_angle_alpha 90.00
_cell_angle_beta 90.00
_cell_angle_gamma 120.00
_space_group_name_H-M_alt 'R -3 m'
_space_group_IT_number 166
_space_group_name_Hall '-R 3 2"'
loop_
_atom_site_label
_atom_site_fract_x
_atom_site_fract_y
_atom_site_fract_z
Ge1 0.0000 0.0000 0.2472
Pd1 0.0000 0.0000 0.0000
Rh1 0.0000 0.0000 0.1285
Rh2 0.0000 0.0000 0.3856
# **DFT total energy**: -6.5535 eV per atom
# **Calculated formation energy**: -0.29 eV/atom
# **Fermi-level density of states**: 4.56 states/eV/f.u.


No. 6
# ReNiBr2, relaxed, DFT PBE-GGA
data_ReNiBr2
_cell_length_a 3.1481
_cell_length_b 3.1481
_cell_length_c 23.1980
_cell_angle_alpha 90.00
_cell_angle_beta 90.00
_cell_angle_gamma 120.00
_space_group_name_H-M_alt 'R -3 m'
_space_group_IT_number 166
_space_group_name_Hall '-R 3 2"'
loop_
_atom_site_label
_atom_site_fract_x
_atom_site_fract_y
_atom_site_fract_z
Re1 0.0000 0.0000 0.0000
Ni1 0.0000 0.0000 0.5000
Br1 0.0000 0.0000 0.2461
# **Distance to the lowest polymorph of the same formula**: 0.594 eV/atom
# **DFT total energy**: -4.4690 eV per atom
# **Fermi-level density of states**: 3.40 states/eV/f.u.
# **E_form (uncorrected)**: 925 meV per atom


No. 7
# CsPrHg2Cl8, relaxed, DFT PBE-GGA
data_CsPrHg2Cl8
_cell_length_a 6.759
_cell_length_b 7.177
_cell_length_c 9.693
_cell_angle_alpha 110.60
_cell_angle_beta 96.20
_cell_angle_gamma 98.95
_space_group_name_H-M_alt 'P -1'
_space_group_IT_number 2
loop_
_space_group_symop_operation_xyz
'x,y,z'
'-x,-y,-z'
loop_
_atom_site_label
_atom_site_fract_x
_atom_site_fract_y
_atom_site_fract_z
Cs1 0.000 0.000 0.000
Pr1 0.000 0.500 0.500
Hg1 0.468 0.306 0.778
Cl1 0.131 0.532 0.246
Cl2 0.220 0.875 0.680
Cl3 0.327 0.300 0.537
Cl4 0.438 0.730 0.990
# **DFT total energy**: -3.1137 eV per atom
# **Fermi-level density of states**: 0.00 states/eV/f.u.
# **E_form (uncorrected)**: -1363 meV per atom


No. 8
# GaHg2Au2, relaxed, DFT PBE-GGA
data_GaHg2Au2
_cell_length_a 4.144
_cell_length_b 4.144
_cell_length_c 13.707
_cell_angle_alpha 90.00
_cell_angle_beta 90.00
_cell_angle_gamma 90.00
_space_group_name_H-M_alt 'I 4/m m m'
_space_group_IT_number 139
_space_group_name_Hall '-I 4 2'
loop_
_atom_site_label
_atom_site_fract_x
_atom_site_fract_y
_atom_site_fract_z
Ga1 0.000 0.000 0.000
Hg1 0.000 0.500 0.250
Au1 0.000 0.000 0.403
# **Distance to the lowest polymorph of the same formula**: 0.122 eV/atom
# **DFT total energy**: -1.9068 eV per atom
# **Calculated formation energy**: 0.13 eV/atom
# **Fermi-level density of states**: 1.87 states/eV/f.u.


No. 9
# Tb2MgGe2, relaxed, DFT PBE-GGA
data_Tb2MgGe2
_cell_length_a 7.296
_cell_length_b 7.296
_cell_length_c 4.265
_cell_angle_alpha 90.00
_cell_angle_beta 90.00
_cell_angle_gamma 90.00
_space_group_name_H-M_alt 'P 4/m b m'
_space_group_IT_number 127
_space_group_name_Hall '-P 4 2ab'
loop_
_atom_site_label
_atom_site_fract_x
_atom_site_fract_y
_atom_site_fract_z
Tb1 0.177 0.323 0.000
Mg1 0.000 0.000 0.500
Ge1 0.123 0.623 0.500
# **DFT total energy**: -4.8049 eV per atom
# **Calculated formation energy**: -0.79 eV/atom
# **Fermi-level density of states**: 0.95 states/eV/f.u.


No. 10
# Cr5PdS8, relaxed, DFT PBE-GGA
data_Cr5PdS8
_cell_length_a 9.782
_cell_length_b 9.782
_cell_length_c 9.782
_cell_angle_alpha 90.00
_cell_angle_beta 90.00
_cell_angle_gamma 90.00
_space_group_name_H-M_alt 'F -4 3 m'
_space_group_IT_number 216
_space_group_name_Hall 'F -4 2 3'
loop_
_atom_site_label
_atom_site_fract_x
_atom_site_fract_y
_atom_site_fract_z
Cr1 0.000 0.000 0.000
Cr2 0.103 0.103 0.603
Pd1 0.250 0.250 0.250
S1 0.119 0.119 0.381
S2 0.138 0.138 0.862
# **DFT total energy**: -6.6457 eV per atom
# **Fermi-level density of states**: 7.82 states/eV/f.u.
# **E_form (uncorrected)**: -479 meV per atom


No. 11
# GaPPbS2, relaxed, DFT PBE-GGA
data_GaPPbS2
_cell_length_a 4.825
_cell_length_b 4.825
_cell_length_c 4.725
_cell_angle_alpha 90.00
_cell_angle_beta 90.00
_cell_angle_gamma 90.00
_space_group_name_H-M_alt 'P 4/m m m'
_space_group_IT_number 123
_space_group_name_Hall '-P 4 2'
loop_
_atom_site_label
_atom_site_fract_x
_atom_site_fract_y
_atom_site_fract_z
Ga1 0.000 0.000 0.000
P1 0.000 0.000 0.500
Pb1 0.500 0.500 0.500
S1 0.000 0.500 0.000
# **Distance to the lowest polymorph of the same formula**: 0.000 eV/atom
# **DFT total energy**: -3.8949 eV per atom
# **Fermi-level density of states**: 5.26 states/eV/f.u.
# **E_form (uncorrected)**: 185 meV per atom


No. 12
# ZrNbCu2Se, relaxed, DFT PBE-GGA
data_ZrNbCu2Se
_cell_length_a 4.767
_cell_length_b 4.767
_cell_length_c 4.915
_cell_angle_alpha 90.00
_cell_angle_beta 90.00
_cell_angle_gamma 90.00
_space_group_name_H-M_alt 'P 4/m m m'
_space_group_IT_number 123
_space_group_name_Hall '-P 4 2'
loop_
_atom_site_label
_atom_site_fract_x
_atom_site_fract_y
_atom_site_fract_z
Zr1 0.000 0.000 0.000
Nb1 0.500 0.500 0.500
Cu1 0.000 0.500 0.000
Se1 0.000 0.000 0.500
# **DFT total energy**: -4.9436 eV per atom
# **Fermi-level density of states**: 5.93 states/eV/f.u.
# **E_form (uncorrected)**: 1115 meV per atom